No. 1
The following is a PBE calculation of crystalline NiBi3Os at its relaxed geometry, from Alexandria.

The space group is Pm-3m (No. 221) and the conventional cell measures 5.275, 5.275 and 5.275 Å, with angles of 90.00, 90.00 and 90.00 degrees. The asymmetric unit holds Ni at (0.000, 0.000, 0.000), Bi at (0.000, 0.500, 0.500) and Os at (0.500, 0.500, 0.500).

Its size of the total moment is 0.000 μB per formula unit. The volume comes out at 29.35 Å³ per atom. The value obtained for the energy above the most stable polymorph in this dataset is 23 meV per atom. For the calculated total energy, the calculation gives -4.5871 eV/atom. Its formation energy is 1.14 eV per atom.

---

No. 2
The following is a PBE calculation of crystalline NiBi2Os at its relaxed geometry, from Alexandria.

The space group is I-42d (No. 122) and the conventional cell measures 6.059, 6.059 and 11.961 Å, with angles of 90.00, 90.00 and 90.00 degrees. The asymmetric unit holds Ni at (0.000, 0.000, 0.000), Bi at (0.239, 0.250, 0.125) and Os at (0.000, 0.000, 0.500).

Its size of the total moment is 0.000 μB per formula unit. The volume comes out at 27.45 Å³ per atom. The value obtained for the energy above the most stable polymorph in this dataset is 198 meV per atom. For the calculated total energy, the calculation gives -5.2930 eV/atom. Its formation energy is 0.90 eV per atom.

---

No. 3
The following is a PBE calculation of crystalline Ni3BiOs at its relaxed geometry, from Alexandria.

The space group is Pm-3m (No. 221) and the conventional cell measures 4.558, 4.558 and 4.558 Å, with angles of 90.00, 90.00 and 90.00 degrees. The asymmetric unit holds Ni at (0.000, 0.000, 0.500), Bi at (0.500, 0.500, 0.500) and Os at (0.000, 0.000, 0.000).

Its size of the total moment is 0.000 μB per formula unit. The volume comes out at 18.94 Å³ per atom. The value obtained for the energy above the most stable polymorph in this dataset is 0 meV per atom. For the calculated total energy, the calculation gives -5.4384 eV/atom. Its formation energy is 1.05 eV per atom.

---

No. 4
The following is a PBE calculation of crystalline Ni2BiOs at its relaxed geometry, from Alexandria.

The space group is I-42d (No. 122) and the conventional cell measures 3.997, 3.997 and 17.468 Å, with angles of 90.00, 90.00 and 90.00 degrees. The asymmetric unit holds Ni at (0.171, 0.250, 0.125), Bi at (0.000, 0.000, 0.500) and Os at (0.000, 0.000, 0.000).

Its size of the total moment is 0.000 μB per formula unit. The volume comes out at 17.44 Å³ per atom. For the calculated total energy, the calculation gives -5.8326 eV/atom. Its formation energy is 0.84 eV per atom.

---

No. 5
The following is a PBE calculation of crystalline NiBi3Os at its relaxed geometry, from Alexandria.

The space group is Pm-3m (No. 221) and the conventional cell measures 5.001, 5.001 and 5.001 Å, with angles of 90.00, 90.00 and 90.00 degrees. The asymmetric unit holds Ni at (0.000, 0.000, 0.000), Bi at (0.000, 0.000, 0.500) and Os at (0.500, 0.500, 0.500).

Its size of the total moment is 1.062 μB per formula unit. The volume comes out at 25.02 Å³ per atom. The value obtained for the energy above the most stable polymorph in this dataset is 0 meV per atom. For the calculated total energy, the calculation gives -4.6099 eV/atom. Its formation energy is 1.12 eV per atom.

---

No. 6
The following is a PBE calculation of crystalline NiBi2Os at its relaxed geometry, from Alexandria.

The space group is Fm-3m (No. 225) and the conventional cell measures 6.805, 6.805 and 6.805 Å, with angles of 90.00, 90.00 and 90.00 degrees. The asymmetric unit holds Ni at (0.000, 0.000, 0.000), Bi at (0.250, 0.250, 0.250) and Os at (0.000, 0.000, 0.500).

Its size of the total moment is 0.000 μB per formula unit. The volume comes out at 19.70 Å³ per atom. The value obtained for the energy above the most stable polymorph in this dataset is 0 meV per atom. For the calculated total energy, the calculation gives -5.4909 eV/atom. Its formation energy is 0.70 eV per atom.

---

No. 7
The following is a PBE calculation of crystalline ReNiBiOs2 at its relaxed geometry, from Alexandria.

The space group is P4/mmm (No. 123) and the conventional cell measures 4.560, 4.560 and 4.486 Å, with angles of 90.00, 90.00 and 90.00 degrees. The asymmetric unit holds Re at (0.000, 0.000, 0.000), Ni at (0.000, 0.000, 0.500), Bi at (0.500, 0.500, 0.000) and Os at (0.000, 0.500, 0.500).

Its size of the total moment is 2.077 μB per formula unit. The volume comes out at 18.66 Å³ per atom. For the calculated total energy, the calculation gives -7.1703 eV/atom. Its formation energy is 1.74 eV per atom.

---

No. 8
The following is a PBE calculation of crystalline NiBi2OsRu at its relaxed geometry, from Alexandria.

The space group is P4/mmm (No. 123) and the conventional cell measures 4.971, 4.971 and 4.475 Å, with angles of 90.00, 90.00 and 90.00 degrees. The asymmetric unit holds Ni at (0.000, 0.000, 0.000), Bi at (0.000, 0.500, 0.000), Os at (0.000, 0.000, 0.500) and Ru at (0.500, 0.500, 0.500).

Its size of the total moment is 1.656 μB per formula unit. The volume comes out at 22.12 Å³ per atom. For the calculated total energy, the calculation gives -5.3420 eV/atom. Its formation energy is 1.47 eV per atom.

---

No. 9
The following is a PBE calculation of crystalline ZrNi2BiOs at its relaxed geometry, from Alexandria.

The space group is P4/mmm (No. 123) and the conventional cell measures 4.639, 4.639 and 4.958 Å, with angles of 90.00, 90.00 and 90.00 degrees. The asymmetric unit holds Zr at (0.000, 0.000, 0.000), Ni at (0.000, 0.500, 0.500), Bi at (0.500, 0.500, 0.000) and Os at (0.000, 0.000, 0.500).

Its size of the total moment is 0.000 μB per formula unit. The volume comes out at 21.33 Å³ per atom. For the calculated total energy, the calculation gives -6.3421 eV/atom. Its formation energy is 0.70 eV per atom.

---

No. 10
The following is a PBE calculation of crystalline NiBiP2 at its relaxed geometry, from Alexandria.

The space group is I-42d (No. 122) and the conventional cell measures 5.604, 5.604 and 11.211 Å, with angles of 90.00, 90.00 and 90.00 degrees. The asymmetric unit holds Ni at (0.000, 0.000, 0.000), Bi at (0.000, 0.000, 0.500) and P at (0.165, 0.250, 0.125).

Its size of the total moment is 0.000 μB per formula unit. The volume comes out at 22.01 Å³ per atom. For the calculated total energy, the calculation gives -5.1088 eV/atom. Its formation energy is 0.01 eV per atom.

---

No. 11
The following is a PBE calculation of crystalline NiBiPS2 at its relaxed geometry, from Alexandria.

The space group is P4/mmm (No. 123) and the conventional cell measures 4.714, 4.714 and 4.245 Å, with angles of 90.00, 90.00 and 90.00 degrees. The asymmetric unit holds Ni at (0.000, 0.000, 0.000), Bi at (0.500, 0.500, 0.500), P at (0.000, 0.000, 0.500) and S at (0.000, 0.500, 0.000).

Its size of the total moment is 0.000 μB per formula unit. The volume comes out at 18.86 Å³ per atom. The value obtained for the energy above the most stable polymorph in this dataset is 0 meV per atom. As for the uncorrected formation energy: 1.1 eV/f.u. For the calculated total energy, the calculation gives -4.4457 eV/atom.

---

No. 12
The following is a PBE calculation of crystalline NiBiPS2 at its relaxed geometry, from Alexandria.

The space group is P4/mmm (No. 123) and the conventional cell measures 5.172, 5.172 and 5.308 Å, with angles of 90.00, 90.00 and 90.00 degrees. The asymmetric unit holds Ni at (0.000, 0.000, 0.000), Bi at (0.500, 0.500, 0.500), P at (0.500, 0.500, 0.000) and S at (0.000, 0.500, 0.500).

Its size of the total moment is 1.227 μB per formula unit. The volume comes out at 28.40 Å³ per atom. The value obtained for the energy above the most stable polymorph in this dataset is 1170 meV per atom. As for the uncorrected formation energy: 6.9 eV/f.u. For the calculated total energy, the calculation gives -3.2757 eV/atom.

---

No. 13
The following is a PBE calculation of crystalline SiNiBi2P at its relaxed geometry, from Alexandria.

The space group is P4/mmm (No. 123) and the conventional cell measures 5.416, 5.416 and 4.322 Å, with angles of 90.00, 90.00 and 90.00 degrees. The asymmetric unit holds Si at (0.000, 0.000, 0.000), Ni at (0.500, 0.500, 0.000), Bi at (0.000, 0.500, 0.500) and P at (0.000, 0.000, 0.500).

Its size of the total moment is 0.000 μB per formula unit. The volume comes out at 25.36 Å³ per atom. As for the uncorrected formation energy: 4.8 eV/f.u. For the calculated total energy, the calculation gives -3.9242 eV/atom.

---

No. 14
The following is a PBE calculation of crystalline TcNi2BiP at its relaxed geometry, from Alexandria.

The space group is P4/mmm (No. 123) and the conventional cell measures 4.285, 4.285 and 4.551 Å, with angles of 90.00, 90.00 and 90.00 degrees. The asymmetric unit holds Tc at (0.000, 0.000, 0.000), Ni at (0.000, 0.500, 0.500), Bi at (0.500, 0.500, 0.000) and P at (0.000, 0.000, 0.500).

Its size of the total moment is 1.111 μB per formula unit. The volume comes out at 16.72 Å³ per atom. For the calculated total energy, the calculation gives -6.0831 eV/atom. Its formation energy is 0.16 eV per atom.

---

No. 15
The following is a PBE calculation of crystalline VNi2BiP at its relaxed geometry, from Alexandria.

The space group is P4/mmm (No. 123) and the conventional cell measures 4.670, 4.670 and 5.108 Å, with angles of 90.00, 90.00 and 90.00 degrees. The asymmetric unit holds V at (0.000, 0.000, 0.000), Ni at (0.000, 0.500, 0.500), Bi at (0.000, 0.000, 0.500) and P at (0.500, 0.500, 0.000).

Its size of the total moment is 0.016 μB per formula unit. The volume comes out at 22.28 Å³ per atom. For the calculated total energy, the calculation gives -4.4291 eV/atom. Its formation energy is 1.57 eV per atom.

---

No. 16
The following is a PBE calculation of crystalline Y2NiBiP at its relaxed geometry, from Alexandria.

The space group is P4/mmm (No. 123) and the conventional cell measures 5.277, 5.277 and 4.661 Å, with angles of 90.00, 90.00 and 90.00 degrees. The asymmetric unit holds Y at (0.000, 0.500, 0.000), Ni at (0.000, 0.000, 0.000), Bi at (0.000, 0.000, 0.500) and P at (0.500, 0.500, 0.500).

Its size of the total moment is 0.000 μB per formula unit. The volume comes out at 25.96 Å³ per atom. For the calculated total energy, the calculation gives -5.7548 eV/atom. Its formation energy is -0.15 eV per atom.

---

No. 17
The following is a PBE calculation of crystalline Pa5Ni3Bi12 at its relaxed geometry, from Alexandria.

The space group is Ia-3d (No. 230) and the conventional cell measures 17.611, 17.611 and 17.611 Å, with angles of 90.00, 90.00 and 90.00 degrees. The asymmetric unit holds Pa at (0.000, 0.000, 0.000), Pa at (0.000, 0.250, 0.375), Ni at (0.000, 0.250, 0.125) and Bi at (0.025, 0.102, 0.646).

Its size of the total moment is 2.874 μB per formula unit. The volume comes out at 34.14 Å³ per atom. For the calculated total energy, the calculation gives -5.0544 eV/atom. Its formation energy is 0.52 eV per atom.

---

No. 18
The following is a PBE calculation of crystalline PaNi4Bi at its relaxed geometry, from Alexandria.

The space group is F-43m (No. 216) and the conventional cell measures 7.195, 7.195 and 7.195 Å, with angles of 90.00, 90.00 and 90.00 degrees. The asymmetric unit holds Pa at (0.000, 0.000, 0.000), Ni at (0.125, 0.125, 0.625) and Bi at (0.250, 0.250, 0.250).

Its size of the total moment is 0.001 μB per formula unit. The volume comes out at 15.52 Å³ per atom. For the calculated total energy, the calculation gives -6.2880 eV/atom. Its formation energy is -0.20 eV per atom.

---

No. 19
The following is a PBE calculation of crystalline Pa2Ni2Bi at its relaxed geometry, from Alexandria.

The space group is P4/mbm (No. 127) and the conventional cell measures 7.048, 7.048 and 4.093 Å, with angles of 90.00, 90.00 and 90.00 degrees. The asymmetric unit holds Pa at (0.146, 0.354, 0.000), Ni at (0.132, 0.632, 0.500) and Bi at (0.000, 0.000, 0.500).

Its size of the total moment is 0.000 μB per formula unit. The volume comes out at 20.33 Å³ per atom. For the calculated total energy, the calculation gives -7.2303 eV/atom. Its formation energy is -0.34 eV per atom.

---

No. 20
The following is a PBE calculation of crystalline Pa2Ni2Bi3 at its relaxed geometry, from Alexandria.

The space group is Immm (No. 71) and the conventional cell measures 4.306, 4.692 and 17.248 Å, with angles of 90.00, 90.00 and 90.00 degrees. The asymmetric unit holds Pa at (0.000, 0.000, 0.138), Ni at (0.000, 0.500, 0.067), Bi at (0.000, 0.000, 0.328) and Bi at (0.000, 0.500, 0.500).

Its size of the total moment is 0.001 μB per formula unit. The volume comes out at 24.89 Å³ per atom. For the calculated total energy, the calculation gives -6.1211 eV/atom. Its formation energy is -0.09 eV per atom.

---

No. 21
The following is a PBE calculation of crystalline PaNiBi2 at its relaxed geometry, from Alexandria.

The space group is R-3m (No. 166, hexagonal axes) and the conventional cell measures 3.3632, 3.3632 and 30.8861 Å, with angles of 90.00, 90.00 and 120.00 degrees. The asymmetric unit holds Pa at (0.0000, 0.0000, 0.0000), Ni at (0.0000, 0.0000, 0.5000) and Bi at (0.0000, 0.0000, 0.1053).

Its size of the total moment is 0.122 μB per formula unit. The volume comes out at 25.21 Å³ per atom. For the calculated total energy, the calculation gives -5.4717 eV/atom. Its formation energy is 0.29 eV per atom.

---

No. 22
The following is a PBE calculation of crystalline PaNiBi2 at its relaxed geometry, from Alexandria.

The space group is I4/mmm (No. 139) and the conventional cell measures 4.595, 4.595 and 18.068 Å, with angles of 90.00, 90.00 and 90.00 degrees. The asymmetric unit holds Pa at (0.000, 0.000, 0.143), Ni at (0.000, 0.500, 0.250), Bi at (0.000, 0.000, 0.332) and Bi at (0.000, 0.500, 0.000).

Its size of the total moment is 0.000 μB per formula unit. The volume comes out at 23.84 Å³ per atom. For the calculated total energy, the calculation gives -5.9935 eV/atom. Its formation energy is -0.23 eV per atom.

---

No. 23
The following is a PBE calculation of crystalline PaNiBiPd at its relaxed geometry, from Alexandria.

The space group is F-43m (No. 216) and the conventional cell measures 6.843, 6.843 and 6.843 Å, with angles of 90.00, 90.00 and 90.00 degrees. The asymmetric unit holds Pa at (0.000, 0.000, 0.000), Ni at (0.250, 0.250, 0.750), Bi at (0.000, 0.000, 0.500) and Pd at (0.250, 0.250, 0.250).

Its size of the total moment is 0.000 μB per formula unit. The volume comes out at 20.02 Å³ per atom. For the calculated total energy, the calculation gives -6.4063 eV/atom. Its formation energy is -0.32 eV per atom.

---

No. 24
The following is a PBE calculation of crystalline PaNiBiPt at its relaxed geometry, from Alexandria.

The space group is F-43m (No. 216) and the conventional cell measures 6.872, 6.872 and 6.872 Å, with angles of 90.00, 90.00 and 90.00 degrees. The asymmetric unit holds Pa at (0.000, 0.000, 0.000), Ni at (0.250, 0.250, 0.750), Bi at (0.000, 0.000, 0.500) and Pt at (0.250, 0.250, 0.250).

Its size of the total moment is 0.000 μB per formula unit. The volume comes out at 20.28 Å³ per atom. For the calculated total energy, the calculation gives -6.6999 eV/atom. Its formation energy is -0.40 eV per atom.